Entry 1:
A plane-wave DFT calculation with GGA-PBE was carried out for crystalline Pm4Sm3Ho4 at its relaxed geometry.

## Properties
V = 746 Å³/cell
total moment = 0.00 μB/f.u.

Cell lengths 3.553, 11.351, 18.494 Å; angles 90.00, 90.00, 90.00 degrees
Space group Immm (No. 71)
One atom of each set of equivalent atoms:
Pm (0.000, 0.000, 0.213) (multiplicity 4)
Pm (0.000, 0.213, 0.500) (multiplicity 4)
Sm (0.000, 0.000, 0.000) (multiplicity 2)
Sm (0.000, 0.500, 0.109) (multiplicity 4)
Ho (0.000, 0.251, 0.327) (multiplicity 8)

***

Entry 2:
A plane-wave DFT calculation with GGA-PBE was carried out for crystalline Pm8SmHo6 at its relaxed geometry.

## Properties
V = 502 Å³/cell
total moment = 0.00 μB/f.u.

Cell lengths 9.9073, 9.9073, 5.8999 Å; angles 90.00, 90.00, 120.00 degrees
Space group P-3 (No. 147)
One atom of each set of equivalent atoms:
Pm (0.0519, 0.7764, 0.2737) (multiplicity 6)
Pm (0.3333, 0.6667, 0.2749) (multiplicity 2)
Sm (0.0000, 0.0000, 0.0000) (multiplicity 1)
Ho (0.0927, 0.6208, 0.7584) (multiplicity 6)

***

Entry 3:
A plane-wave DFT calculation with GGA-PBE was carried out for crystalline Pm2Sm3Ho2 at its relaxed geometry.

## Properties
V = 470 Å³/cell
total moment = 0.00 μB/f.u.

Cell lengths 17.661, 3.530, 8.620 Å; angles 90.00, 119.11, 90.00 degrees
Space group C2/m (No. 12)
One atom of each set of equivalent atoms:
Pm (0.065, 0.000, 0.412) (multiplicity 4)
Sm (0.000, 0.500, 0.000) (multiplicity 2)
Sm (0.212, 0.500, 0.298) (multiplicity 4)
Ho (0.148, 0.500, 0.832) (multiplicity 4)

***

Entry 4:
A plane-wave DFT calculation with GGA-PBE was carried out for crystalline Pm5Sm4Ho2 at its relaxed geometry.

## Properties
V = 767 Å³/cell
total moment = 0.00 μB/f.u.

Cell lengths 3.509, 10.448, 20.911 Å; angles 90.00, 90.00, 90.00 degrees
Space group Immm (No. 71)
One atom of each set of equivalent atoms:
Pm (0.000, 0.000, 0.000) (multiplicity 2)
Pm (0.000, 0.191, 0.155) (multiplicity 8)
Sm (0.000, 0.224, 0.500) (multiplicity 4)
Sm (0.000, 0.500, 0.235) (multiplicity 4)
Ho (0.000, 0.500, 0.082) (multiplicity 4)

***

Entry 5:
A plane-wave DFT calculation with GGA-PBE was carried out for crystalline Pm2Sm5Ho at its relaxed geometry.

## Properties
V = 562 Å³/cell
total moment = 0.00 μB/f.u.

Cell lengths 7.223, 10.174, 7.856 Å; angles 90.00, 103.42, 90.00 degrees
Space group P2_1/m (No. 11)
One atom of each set of equivalent atoms:
Pm (0.089, 0.093, 0.363) (multiplicity 4)
Sm (0.250, 0.023, 0.001) (multiplicity 4)
Sm (0.406, 0.593, 0.635) (multiplicity 4)
Sm (0.438, 0.250, 0.730) (multiplicity 2)
Ho (0.070, 0.750, 0.278) (multiplicity 2)

***

Entry 6:
A plane-wave DFT calculation with GGA-PBE was carried out for crystalline Pm6SmHo2 at its relaxed geometry.

## Properties
V = 613 Å³/cell
total moment = 0.87 μB/f.u.

Cell lengths 13.152, 7.593, 6.143 Å; angles 90.00, 90.00, 90.00 degrees
Space group C2/m (No. 12)
One atom of each set of equivalent atoms:
Pm (0.095, 0.217, 0.288) (multiplicity 8)
Pm (0.188, 0.500, 0.713) (multiplicity 4)
Sm (0.000, 0.500, 0.000) (multiplicity 2)
Ho (0.166, 0.000, 0.781) (multiplicity 4)

***

Entry 7:
A plane-wave DFT calculation with GGA-PBE was carried out for crystalline Pm2Sm3Ho5 at its relaxed geometry.

## Properties
V = 1325 Å³/cell
total moment = 0.00 μB/f.u.

Cell lengths 10.676, 16.069, 9.387 Å; angles 90.00, 124.61, 90.00 degrees
Space group C2/c (No. 15)
One atom of each set of equivalent atoms:
Pm (0.143, 0.124, 0.048) (multiplicity 8)
Sm (0.000, 0.273, 0.750) (multiplicity 4)
Sm (0.156, 0.378, 0.548) (multiplicity 8)
Ho (0.000, 0.023, 0.250) (multiplicity 4)
Ho (0.000, 0.230, 0.250) (multiplicity 4)
Ho (0.000, 0.473, 0.750) (multiplicity 4)
Ho (0.237, 0.382, 0.226) (multiplicity 8)

***

Entry 8:
A plane-wave DFT calculation with GGA-PBE was carried out for crystalline PmSmHo5 at its relaxed geometry.

## Properties
V = 907 Å³/cell
total moment = 0.00 μB/f.u.

Cell lengths 11.676, 6.788, 12.130 Å; angles 90.00, 109.41, 90.00 degrees
Space group C2/c (No. 15)
One atom of each set of equivalent atoms:
Pm (0.000, 0.026, 0.250) (multiplicity 4)
Sm (0.250, 0.250, 0.000) (multiplicity 4)
Ho (0.000, 0.413, 0.750) (multiplicity 4)
Ho (0.078, 0.273, 0.499) (multiplicity 8)
Ho (0.221, 0.361, 0.251) (multiplicity 8)

***

no.,formation energy from the elements (eV per atom)
1,0.17
2,0.16
3,0.12
4,0.24
5,0.23
6,0.21
7,0.19
8,0.19